The following is a PBE-GGA calculation of a geometry-optimized ZnHgSe2O8 structure, from Alexandria.

Calculated values
Space group: No. 148
Formation energy without anion corrections (kJ per mole of atoms): -56
Density of states at the Fermi level (states/eV per atom): 0.583
Calculated total energy (eV per atom): -4.603

```
12
Lattice="-4.875 -0.583 -0.768 -1.683 -4.071 -2.301 -2.795 -4.934 5.406" Properties=species:S:1:pos:R:3 pbc="T T T"
Zn 0.000 0.000 0.000
Se -7.020 -7.217 1.802
Se -2.334 -2.371 0.535
O -6.879 -6.434 0.313
O -5.485 -7.244 2.481
O -5.912 -4.691 3.784
O -6.128 -3.853 -1.152
O -2.475 -3.155 2.024
O -3.869 -2.344 -0.145
O -3.225 -5.736 3.489
O -3.442 -4.897 -1.447
Hg -4.677 -4.794 1.168
```